Model i:
Here is BeTl2Sn after structural relaxation from the Alexandria database. Energies are from PBE.

Geometry as CIF:
```
data_BeTl2Sn
_cell_length_a 9.889
_cell_length_b 9.889
_cell_length_c 7.364
_cell_angle_alpha 47.82
_cell_angle_beta 47.82
_cell_angle_gamma 90.00
_symmetry_space_group_name_H-M 'P 1'
_symmetry_Int_Tables_number 1
loop_
_symmetry_equiv_pos_as_xyz
'x,y,z'
loop_
_atom_site_label
_atom_site_type_symbol
_atom_site_fract_x
_atom_site_fract_y
_atom_site_fract_z
Be1 Be 0.500 0.500 0.000
Be2 Be 0.250 0.750 0.500
Tl1 Tl 0.508 0.125 0.250
Tl2 Tl 0.242 0.625 0.250
Tl3 Tl 0.375 0.492 0.750
Tl4 Tl 0.875 0.758 0.750
Sn1 Sn 0.000 0.000 0.000
Sn2 Sn 0.750 0.250 0.500
```

Space group = I-42d, No. 122
Magnetization = 0.0 μB per formula unit

Model ii:
Here is BeTl2Sn after structural relaxation from the Alexandria database. Energies are from PBE.

Geometry as CIF:
```
data_BeTl2Sn
_cell_length_a 5.238
_cell_length_b 5.238
_cell_length_c 5.238
_cell_angle_alpha 60.00
_cell_angle_beta 60.00
_cell_angle_gamma 60.00
_symmetry_space_group_name_H-M 'P 1'
_symmetry_Int_Tables_number 1
loop_
_symmetry_equiv_pos_as_xyz
'x,y,z'
loop_
_atom_site_label
_atom_site_type_symbol
_atom_site_fract_x
_atom_site_fract_y
_atom_site_fract_z
Be1 Be 0.000 0.000 0.000
Tl1 Tl 0.250 0.250 0.250
Tl2 Tl 0.750 0.750 0.750
Sn1 Sn 0.500 0.500 0.500
```

Space group = Fm-3m, No. 225
Magnetization = 0.0 μB per formula unit

In terms of stability, model i leads; the second structure lies 187 meV/atom higher.

Model i:
Here is Be3VSn after structural relaxation from the Alexandria database. Energies are from PBE.

Geometry as CIF:
```
data_Be3VSn
_cell_length_a 4.298
_cell_length_b 4.298
_cell_length_c 4.298
_cell_angle_alpha 90.00
_cell_angle_beta 90.00
_cell_angle_gamma 90.00
_symmetry_space_group_name_H-M 'P 1'
_symmetry_Int_Tables_number 1
loop_
_symmetry_equiv_pos_as_xyz
'x,y,z'
loop_
_atom_site_label
_atom_site_type_symbol
_atom_site_fract_x
_atom_site_fract_y
_atom_site_fract_z
Be1 Be 0.000 0.500 0.000
Be2 Be 0.000 0.000 0.500
Be3 Be 0.500 0.000 0.000
Sn1 Sn 0.500 0.500 0.500
V1 V 0.000 0.000 0.000
```

Space group = Pm-3m, No. 221
Magnetization = 0.4 μB per formula unit

Model ii:
Here is Be3VSn after structural relaxation from the Alexandria database. Energies are from PBE.

Geometry as CIF:
```
data_Be3VSn
_cell_length_a 4.486
_cell_length_b 4.486
_cell_length_c 4.486
_cell_angle_alpha 90.00
_cell_angle_beta 90.00
_cell_angle_gamma 90.00
_symmetry_space_group_name_H-M 'P 1'
_symmetry_Int_Tables_number 1
loop_
_symmetry_equiv_pos_as_xyz
'x,y,z'
loop_
_atom_site_label
_atom_site_type_symbol
_atom_site_fract_x
_atom_site_fract_y
_atom_site_fract_z
Be1 Be 0.000 0.500 0.000
Be2 Be 0.000 0.000 0.500
Be3 Be 0.500 0.000 0.000
Sn1 Sn 0.000 0.000 0.000
V1 V 0.500 0.500 0.500
```

Space group = Pm-3m, No. 221
Magnetization = 3.2 μB per formula unit

In terms of stability, model i leads; the second structure lies 271 meV/atom higher.

Model i:
Here is BeV2Sn after structural relaxation from the Alexandria database. Energies are from PBE.

Geometry as CIF:
```
data_BeV2Sn
_cell_length_a 4.085
_cell_length_b 4.085
_cell_length_c 4.838
_cell_angle_alpha 65.03
_cell_angle_beta 65.03
_cell_angle_gamma 60.00
_symmetry_space_group_name_H-M 'P 1'
_symmetry_Int_Tables_number 1
loop_
_symmetry_equiv_pos_as_xyz
'x,y,z'
loop_
_atom_site_label
_atom_site_type_symbol
_atom_site_fract_x
_atom_site_fract_y
_atom_site_fract_z
Be1 Be 0.500 0.500 0.500
Sn1 Sn 0.000 0.000 0.000
V1 V 0.784 0.784 0.648
V2 V 0.216 0.216 0.352
```

Space group = R-3m, No. 166
Magnetization = 0.0 μB per formula unit

Model ii:
Here is BeV2Sn after structural relaxation from the Alexandria database. Energies are from PBE.

Geometry as CIF:
```
data_BeV2Sn
_cell_length_a 6.852
_cell_length_b 6.852
_cell_length_c 5.481
_cell_angle_alpha 51.31
_cell_angle_beta 51.31
_cell_angle_gamma 90.00
_symmetry_space_group_name_H-M 'P 1'
_symmetry_Int_Tables_number 1
loop_
_symmetry_equiv_pos_as_xyz
'x,y,z'
loop_
_atom_site_label
_atom_site_type_symbol
_atom_site_fract_x
_atom_site_fract_y
_atom_site_fract_z
Be1 Be 0.500 0.500 0.000
Be2 Be 0.250 0.750 0.500
Sn1 Sn 0.000 0.000 0.000
Sn2 Sn 0.750 0.250 0.500
V1 V 0.592 0.125 0.250
V2 V 0.158 0.625 0.250
V3 V 0.375 0.408 0.750
V4 V 0.875 0.842 0.750
```

Space group = I-42d, No. 122
Magnetization = 0.0 μB per formula unit

In terms of stability, model i leads; the second structure lies 171 meV/atom higher.

Model i:
Here is Be2V2Sn after structural relaxation from the Alexandria database. Energies are from PBE.

Geometry as CIF:
```
data_Be2V2Sn
_cell_length_a 6.174
_cell_length_b 6.174
_cell_length_c 3.359
_cell_angle_alpha 90.00
_cell_angle_beta 90.00
_cell_angle_gamma 90.00
_symmetry_space_group_name_H-M 'P 1'
_symmetry_Int_Tables_number 1
loop_
_symmetry_equiv_pos_as_xyz
'x,y,z'
loop_
_atom_site_label
_atom_site_type_symbol
_atom_site_fract_x
_atom_site_fract_y
_atom_site_fract_z
Be1 Be 0.385 0.885 0.000
Be2 Be 0.885 0.615 0.000
Be3 Be 0.615 0.115 0.000
Be4 Be 0.115 0.385 0.000
Sn1 Sn 0.000 0.000 0.000
Sn2 Sn 0.500 0.500 0.000
V1 V 0.170 0.670 0.500
V2 V 0.670 0.830 0.500
V3 V 0.830 0.330 0.500
V4 V 0.330 0.170 0.500
```

Space group = P4/mbm, No. 127
Magnetization = 1.3 μB per formula unit

Model ii:
Here is Be2V2Sn after structural relaxation from the Alexandria database. Energies are from PBE.

Geometry as CIF:
```
data_Be2V2Sn
_cell_length_a 3.531
_cell_length_b 3.531
_cell_length_c 6.307
_cell_angle_alpha 73.74
_cell_angle_beta 73.74
_cell_angle_gamma 90.00
_symmetry_space_group_name_H-M 'P 1'
_symmetry_Int_Tables_number 1
loop_
_symmetry_equiv_pos_as_xyz
'x,y,z'
loop_
_atom_site_label
_atom_site_type_symbol
_atom_site_fract_x
_atom_site_fract_y
_atom_site_fract_z
Be1 Be 0.750 0.250 0.500
Be2 Be 0.250 0.750 0.500
Sn1 Sn 0.000 0.000 0.000
V1 V 0.401 0.401 0.199
V2 V 0.599 0.599 0.801
```

Space group = I4/mmm, No. 139
Magnetization = 0.0 μB per formula unit

In terms of stability, model i leads; the second structure lies 510 meV/atom higher.

Model i:
Here is BeSn3W after structural relaxation from the Alexandria database. Energies are from PBE.

Geometry as CIF:
```
data_BeSn3W
_cell_length_a 4.839
_cell_length_b 4.839
_cell_length_c 4.839
_cell_angle_alpha 90.00
_cell_angle_beta 90.00
_cell_angle_gamma 90.00
_symmetry_space_group_name_H-M 'P 1'
_symmetry_Int_Tables_number 1
loop_
_symmetry_equiv_pos_as_xyz
'x,y,z'
loop_
_atom_site_label
_atom_site_type_symbol
_atom_site_fract_x
_atom_site_fract_y
_atom_site_fract_z
Be1 Be 0.000 0.000 0.000
Sn1 Sn 0.000 0.500 0.000
Sn2 Sn 0.000 0.000 0.500
Sn3 Sn 0.500 0.000 0.000
W1 W 0.500 0.500 0.500
```

Space group = Pm-3m, No. 221
Magnetization = 3.1 μB per formula unit

Model ii:
Here is BeSn3W after structural relaxation from the Alexandria database. Energies are from PBE.

Geometry as CIF:
```
data_BeSn3W
_cell_length_a 5.276
_cell_length_b 5.276
_cell_length_c 5.276
_cell_angle_alpha 90.00
_cell_angle_beta 90.00
_cell_angle_gamma 90.00
_symmetry_space_group_name_H-M 'P 1'
_symmetry_Int_Tables_number 1
loop_
_symmetry_equiv_pos_as_xyz
'x,y,z'
loop_
_atom_site_label
_atom_site_type_symbol
_atom_site_fract_x
_atom_site_fract_y
_atom_site_fract_z
Be1 Be 0.500 0.500 0.500
Sn1 Sn 0.000 0.500 0.000
Sn2 Sn 0.000 0.000 0.500
Sn3 Sn 0.500 0.000 0.000
W1 W 0.000 0.000 0.000
```

Space group = Pm-3m, No. 221
Magnetization = 0.0 μB per formula unit

In terms of stability, model ii leads; the second structure lies 289 meV/atom higher.